(1)
CoBiTeN2 (PBE, optimized geometry); total moment = 0.606 μB/atom; V = 17.27 Å³ per atom; energy above the lowest structure with this stoichiometry = 0 meV per atom
1.0
4.104 0.000 0.000
0.000 4.104 0.000
0.000 0.000 5.128
Co Bi Te N
1 1 1 2
direct
0.000 0.000 0.000
0.500 0.500 0.500
0.000 0.000 0.500
0.000 0.500 0.000
0.500 0.000 0.000

(2)
CoBiTe2N (PBE, optimized geometry); total moment = 0.515 μB/atom; V = 29.77 Å³ per atom; energy above the lowest structure with this stoichiometry = 1300 meV per atom
1.0
5.971 0.000 0.000
0.000 5.971 0.000
0.000 0.000 4.175
Co Bi Te N
1 1 2 1
direct
0.000 0.000 0.000
0.500 0.500 0.500
0.000 0.500 0.500
0.500 0.000 0.500
0.500 0.500 0.000

(3)
CoBiTeN2 (PBE, optimized geometry); total moment = 0.825 μB/atom; V = 23.60 Å³ per atom; energy above the lowest structure with this stoichiometry = 612 meV per atom
1.0
4.231 0.000 0.000
0.000 4.231 0.000
0.000 0.000 6.591
Co Bi Te N
1 1 1 2
direct
0.000 0.000 0.000
0.500 0.500 0.500
0.500 0.500 0.000
0.000 0.500 0.500
0.500 0.000 0.500